i:
4
Lattice="-1.0572 3.7686 0.8267 -4.2438 -1.0005 -0.8662 -0.6093 -1.1059 4.2623" Properties=species:S:1:pos:R:3 comment="PrAgPd2 | Alexandria via LeMat-Bulk | PBE | optimized geometry" density_kg_m3=9696 spacegroup="P4/mmm, No. 123" pbc="T T T"
Pr -2.9552 0.8311 2.1114
Pd -0.3046 -0.5529 2.1312
Pd -2.1219 -0.5003 -0.4331
Ag -0.5286 1.8843 0.4133

ii:
8
Lattice="4.7807 0.0000 0.0000 0.0000 5.4501 0.0000 0.0000 0.0000 6.2380" Properties=species:S:1:pos:R:3 comment="PrAgPd2 | Alexandria via LeMat-Bulk | PBE | optimized geometry" density_kg_m3=9432 spacegroup="Pmmn, No. 59" pbc="T T T"
Pr 2.3904 4.5475 0.0000
Pr 0.0000 0.9027 3.1190
Ag 2.3904 4.1547 3.1190
Ag 0.0000 1.2954 0.0000
Pd 0.0000 3.6153 4.5796
Pd 2.3904 1.8348 4.7774
Pd 0.0000 3.6153 1.6584
Pd 2.3904 1.8348 1.4606

iii:
4
Lattice="-3.7393 0.2820 -2.7355 -3.6686 -2.7302 0.7952 -4.2376 2.3594 2.0978" Properties=species:S:1:pos:R:3 comment="PrAgPd2 | Alexandria via LeMat-Bulk | PBE | optimized geometry" density_kg_m3=9020 spacegroup="R-3m, No. 166" pbc="T T T"
Pr 0.0000 0.0000 0.0000
Pd -8.5574 -0.3838 -0.1561
Pd -3.0880 0.2951 0.3136
Ag -5.8227 -0.0444 0.0787

iv:
4
Lattice="-3.5726 -0.6242 -0.1640 0.5929 -3.5386 0.5539 -0.4307 0.8749 6.0509" Properties=species:S:1:pos:R:3 comment="PrAgPd2 | Alexandria via LeMat-Bulk | PBE | optimized geometry" density_kg_m3=9489 spacegroup="P4/mmm, No. 123" pbc="T T T"
Pr -1.4899 -2.0814 0.1949
Pd -0.3152 0.6403 4.4286
Pd -0.1155 0.2346 1.6223
Ag -1.7052 -1.6440 3.2203

The most stable of them is ii.

i:
24
Lattice="-7.2127 0.9118 -6.8724 -9.4502 -2.3134 2.3295 -6.8524 7.2368 0.8702" Properties=species:S:1:pos:R:3 comment="Pr4AgPd | Alexandria via LeMat-Bulk | PBE | optimized geometry" density_kg_m3=7298 spacegroup="F-43m, No. 216" pbc="T T T"
Pr -9.2515 2.2958 -1.4450
Pr -12.3262 2.6844 -4.3746
Pr -13.2800 1.3096 -0.4519
Pr -12.1726 5.3807 -1.0740
Pr -15.7652 6.0241 -1.7221
Pr -19.5076 2.7288 -3.7870
Pr -16.7562 2.3810 -1.1654
Pr -18.5166 6.3719 -4.3437
Pr -15.9027 3.6113 -4.6757
Pr -19.3702 5.1416 -0.8335
Pr -8.6709 5.6356 -0.1332
Pr -14.8444 0.1997 -3.5395
Pr -10.3056 -0.3741 0.7851
Pr -13.2096 6.2094 -4.4579
Pr -8.8976 1.6554 -5.0055
Pr -14.6177 4.1799 1.3327
Ag -3.9286 0.9749 -0.6136
Ag -6.3213 1.2774 -2.8934
Ag -7.0635 0.2075 0.1592
Ag -6.2018 3.3756 -0.3249
Pd -14.2196 3.5286 -2.2209
Pd -11.1990 3.1467 0.6572
Pd -10.2620 4.4974 -3.1965
Pd -11.3499 0.4979 -2.5853

ii:
12
Lattice="8.2783 0.0178 0.0000 -3.3265 7.5806 0.0000 -2.4759 -3.7992 6.9258" Properties=species:S:1:pos:R:3 comment="Pr4AgPd | Alexandria via LeMat-Bulk | PBE | optimized geometry" density_kg_m3=5939 spacegroup="I4_1md, No. 109" pbc="T T T"
Pr -2.7340 4.6248 4.8156
Pr 2.9105 0.6700 4.8532
Pr 3.6717 3.1566 1.3527
Pr -2.2256 6.7235 1.3903
Pr -1.0707 0.8345 5.5731
Pr 1.2472 4.4603 5.5355
Pr 5.2401 -0.8482 2.0726
Pr -0.4674 3.1477 2.1102
Ag 1.2328 1.8918 0.0000
Ag 5.3720 1.9007 3.4629
Pd 3.7214 5.7104 0.0000
Pd 2.9088 -1.8791 3.4629

The most stable of them is i.

i:
18
Lattice="-3.5514 -5.6372 1.6555 6.4169 -3.3502 2.3576 -1.5776 3.8456 9.7585" Properties=species:S:1:pos:R:3 comment="Pr6AgPd2 | Alexandria via LeMat-Bulk | PBE | optimized geometry" density_kg_m3=6986 spacegroup="P2_1/c, No. 14" pbc="T T T"
Pr 2.7484 -6.9076 5.9158
Pr 0.4187 -4.6098 8.4133
Pr -0.0957 -3.6239 12.0373
Pr -1.9698 -2.0019 7.1514
Pr -2.9138 -0.7917 10.6176
Pr 0.0450 -4.2770 4.7200
Pr -1.4605 1.7657 7.8558
Pr 0.8691 -0.5320 5.3583
Pr 1.3836 -1.5179 1.7343
Pr 3.2577 -3.1400 6.6202
Pr 4.2017 -4.3501 3.1540
Pr 1.2428 -0.8649 9.0516
Ag 1.4327 -4.4937 2.0065
Ag -0.7888 1.9228 4.8793
Pd -2.0571 -3.5875 9.8271
Pd 2.4407 -3.3169 10.2614
Pd -1.1528 -1.8249 3.5102
Pd 3.3450 -1.5543 3.9444

ii:
18
Lattice="-3.6299 5.7932 -5.6272 -5.3640 -2.1251 6.7167 7.2097 3.5523 3.7153" Properties=species:S:1:pos:R:3 comment="Pr6AgPd2 | Alexandria via LeMat-Bulk | PBE | optimized geometry" density_kg_m3=7276 spacegroup="Immm, No. 71" pbc="T T T"
Pr 0.1354 4.5141 4.8354
Pr -1.9195 2.7062 -0.0306
Pr 4.0158 2.9315 4.3653
Pr -5.7999 4.2888 0.4395
Pr -2.9098 5.0858 2.6990
Pr 1.1256 2.1345 2.1058
Pr 2.0962 2.8850 7.5913
Pr -3.8803 4.3353 -2.7865
Pr 0.3073 5.6526 1.0579
Pr -2.0915 1.5677 3.7469
Pr -1.4560 2.0590 7.3384
Pr -0.3281 5.1613 -2.5336
Ag 0.9229 0.7136 5.2160
Ag 0.0000 0.0000 0.0000
Pd 2.4727 5.2006 2.9029
Pd -4.2568 2.0197 1.9019
Pd 2.3335 6.0918 -1.2463
Pd 1.2463 3.2536 -0.6656

The most stable of them is ii.

i:
10
Lattice="-2.9293 0.6863 -2.5018 4.2890 -2.9846 -5.8405 -2.9326 -7.1146 1.4821" Properties=species:S:1:pos:R:3 comment="Pr2AgPd2 | Alexandria via LeMat-Bulk | PBE | optimized geometry" density_kg_m3=8327 spacegroup="P4/mbm, No. 127" pbc="T T T"
Pr -2.6959 -4.9645 -1.2652
Pr -1.0012 -7.5480 -3.9582
Pr 1.1229 -4.4485 -5.5950
Pr -0.5717 -1.8649 -2.9021
Ag 0.0000 0.0000 0.0000
Ag 0.6782 -5.0496 -2.1792
Pd -0.9620 -7.3120 -0.8793
Pd 1.8967 -7.0714 -4.1606
Pd 2.3184 -2.7872 -3.4791
Pd -0.5404 -3.0278 -0.1978

ii:
5
Lattice="-3.0753 1.9899 1.1629 -2.5598 -2.9278 -1.7596 1.2362 -2.3339 7.2627" Properties=species:S:1:pos:R:3 comment="Pr2AgPd2 | Alexandria via LeMat-Bulk | PBE | optimized geometry" density_kg_m3=8211 spacegroup="Cmmm, No. 65" pbc="T T T"
Pr -2.8291 -1.4670 1.3791
Pr -1.5699 -1.8048 5.2869
Ag 0.0000 0.0000 0.0000
Pd -0.0167 -1.4468 2.4317
Pd -1.3070 -3.8149 3.0714

The most stable of them is i.

i:
12
Lattice="7.4028 0.1857 0.0000 2.2615 7.0848 0.0000 1.1307 3.5424 6.3629" Properties=species:S:1:pos:R:3 comment="Pr6AgPd5 | Alexandria via LeMat-Bulk | PBE | optimized geometry" density_kg_m3=7451 spacegroup="C2/m, No. 12" pbc="T T T"
Pr 6.0631 1.9880 2.2092
Pr 3.6012 5.2826 2.2092
Pr 2.4468 1.9288 0.0000
Pr 7.2175 5.3417 0.0000
Pr 7.1938 5.5304 4.1537
Pr 4.7319 8.8250 4.1537
Ag 0.0000 0.0000 0.0000
Pd 4.8321 3.6353 4.3458
Pd 1.1307 3.5424 2.1573
Pd 4.8321 3.6353 0.0000
Pd 2.2615 7.0848 4.2056
Pd 5.9629 7.1777 2.0171

ii:
12
Lattice="-2.2246 4.5441 1.1610 -5.6926 -1.6787 -4.3390 -7.5636 -1.9267 4.4395" Properties=species:S:1:pos:R:3 comment="Pr6AgPd5 | Alexandria via LeMat-Bulk | PBE | optimized geometry" density_kg_m3=8301 spacegroup="C2/m, No. 12" pbc="T T T"
Pr -7.6985 2.1482 -0.0237
Pr -4.8976 2.9742 2.1117
Pr -12.8996 -0.9002 1.8000
Pr -2.5811 1.8390 -0.5386
Pr -10.5832 -2.0353 -0.8502
Pr -7.7822 -1.2093 1.2852
Pd -7.5214 1.4163 3.0910
Pd -5.1654 0.3107 0.4259
Pd -2.8463 -0.8393 -2.1695
Pd -10.3153 0.6282 0.8356
Pd -7.9594 -0.4775 -1.8295
Ag 0.0000 0.0000 0.0000

The most stable of them is ii.

i:
4
Lattice="5.1677 0.0000 0.0000 2.5838 4.4754 0.0000 2.5838 1.4918 4.2194" Properties=species:S:1:pos:R:3 comment="TbPrAgPd | Alexandria via LeMat-Bulk | PBE | optimized geometry" density_kg_m3=8749 spacegroup="F-43m, No. 216" pbc="T T T"
Pr 5.1677 2.9836 2.1097
Tb 0.0000 0.0000 0.0000
Pd 7.7515 4.4754 3.1646
Ag 2.5838 1.4918 1.0549

ii:
4
Lattice="3.8534 0.0000 0.0000 0.0000 4.7899 0.0000 -1.9267 0.0000 5.4668" Properties=species:S:1:pos:R:3 comment="TbPrAgPd | Alexandria via LeMat-Bulk | PBE | optimized geometry" density_kg_m3=8461 spacegroup="Amm2, No. 38" pbc="T T T"
Tb 0.0000 0.0000 1.4986
Pr 1.9267 2.3950 3.9174
Ag 0.0000 0.0000 4.6016
Pd 1.9267 2.3950 0.9159

The most stable of them is ii.

i:
4
Lattice="-3.4960 1.3554 -0.8702 0.8448 -0.8063 -4.6500 -0.3232 -5.7022 0.9301" Properties=species:S:1:pos:R:3 comment="PrYAgPd | Alexandria via LeMat-Bulk | PBE | optimized geometry" density_kg_m3=7322 spacegroup="Amm2, No. 38" pbc="T T T"
Pr -2.8108 -3.3285 -2.4052
Y -0.5688 -1.3799 0.1359
Ag -1.7431 -4.2286 0.4166
Pd -1.6708 -0.5630 -2.6776

ii:
4
Lattice="5.1645 0.0000 0.0000 2.5822 4.4726 0.0000 2.5822 1.4909 4.2168" Properties=species:S:1:pos:R:3 comment="PrYAgPd | Alexandria via LeMat-Bulk | PBE | optimized geometry" density_kg_m3=7571 spacegroup="F-43m, No. 216" pbc="T T T"
Pr 2.5822 1.4909 1.0542
Y 7.7467 4.4726 3.1626
Pd 5.1645 2.9817 2.1084
Ag 0.0000 0.0000 0.0000

The most stable of them is i.

i:
14
Lattice="5.8157 0.0000 2.9575 2.1559 5.4014 2.9575 -0.1331 -0.0902 7.4586" Properties=species:S:1:pos:R:3 comment="AgPd3Pt3 | Alexandria via LeMat-Bulk | PBE | optimized geometry" density_kg_m3=14163 spacegroup="R-3, No. 148" pbc="T T T"
Ag 5.2394 3.5501 11.2876
Ag 2.5990 1.7611 2.0860
Pd 3.2606 4.2533 9.3224
Pd 4.7575 0.4456 8.7716
Pd 1.0592 1.4516 7.2375
Pd 6.7793 3.8596 6.1362
Pd 3.0810 4.8656 4.6021
Pd 4.5779 1.0578 4.0513
Pt 2.3175 2.2624 4.9232
Pt 5.9092 1.3138 6.4229
Pt 4.4321 5.0012 6.9423
Pt 3.4064 0.3100 6.4313
Pt 1.9292 3.9974 6.9508
Pt 5.5209 3.0488 8.4504

ii:
14
Lattice="2.7224 0.0000 0.0000 0.0000 10.3062 0.0000 0.0000 -5.1531 8.9254" Properties=species:S:1:pos:R:3 comment="AgPd3Pt3 | Alexandria via LeMat-Bulk | PBE | optimized geometry" density_kg_m3=13426 spacegroup="P6_3/m, No. 176" pbc="T T T"
Ag 0.6806 5.1531 2.9751
Ag 2.0418 0.0000 5.9503
Pd 2.0418 3.1629 7.5903
Pd 2.0418 -0.1612 2.3911
Pd 0.6806 8.1548 1.0559
Pd 2.0418 -3.0018 7.8695
Pd 0.6806 5.3143 6.5343
Pd 0.6806 1.9901 1.3351
Pt 2.0418 7.6621 3.3325
Pt 2.0418 4.2081 0.6235
Pt 0.6806 1.5641 3.9561
Pt 2.0418 3.5890 4.9693
Pt 0.6806 0.9450 8.3019
Pt 0.6806 -2.5091 5.5928

The most stable of them is i.